# 1
Ta4Pt2Rh3 after structural relaxation. Source: the Alexandria database, functional PBE-GGA.

It has space group C2/m (No. 12), with a = 9.2634 Å, b = 2.9240 Å, c = 11.7416 Å, α = 90.00°, β = 112.92° and γ = 90.00°. Symmetry generates all atoms from Ta at (0.1587, 0.0000, 0.1461), Ta at (0.2171, 0.5000, 0.3865), Pt at (0.0612, 0.0000, 0.7180), Rh at (0.0000, 0.5000, 0.5000) and Rh at (0.1054, 0.5000, 0.9369).

Its formation energy is -0.42 eV/atom. The value obtained for the total DFT energy (no corrections) is -170.63 eV per cell. Its volume is 293 Å³/cell.

# 2
Cs3Sm2Se9 after structural relaxation. Source: the Alexandria database, functional PBE-GGA.

It has space group Immm (No. 71), with a = 4.5417 Å, b = 11.7001 Å, c = 18.4529 Å, α = 90.00°, β = 90.00° and γ = 90.00°. Symmetry generates all atoms from Cs at (0.0000, 0.0000, 0.0000), Cs at (0.0000, 0.0000, 0.2760), Sm at (0.0000, 0.2253, 0.5000), Se at (0.0000, 0.3267, 0.0982), Se at (0.0000, 0.3971, 0.3731) and Se at (0.0000, 0.5000, 0.0000).

As for the formation energy without anion corrections: -989 meV/atom. The value obtained for the total DFT energy (no corrections) is -114.41 eV per cell. Its volume is 981 Å³/cell.

The evaluated total magnetic moment for the records listed, in turn: 0.000, 0.003 Bohr magnetons per cell.